# 1
! LiOs2Pt (PBE-GGA, relaxed); values from VASP
! - Energy above the lowest structure with this stoichiometry: 0.486 eV per atom
! - Total magnetic moment: 0.0 μB/f.u.
&SYSTEM
  ibrav = 0, nat = 4, ntyp = 3
/
ATOMIC_SPECIES
Os 190.23 Os.upf
Li 6.94 Li.upf
Pt 195.08 Pt.upf
CELL_PARAMETERS angstrom
2.726 -3.318 0.052
1.078 -1.834 3.730
-1.428 -3.937 0.949
ATOMIC_POSITIONS crystal
Os 0.250 0.250 0.250
Os 0.750 0.750 0.750
Li 0.000 0.000 0.000
Pt 0.500 0.500 0.500

---

# 2
! Li2OsPt (PBE-GGA, relaxed); values from VASP
! - Energy above the lowest structure with this stoichiometry: 0.258 eV per atom
! - Total magnetic moment: 0.0 μB/f.u.
&SYSTEM
  ibrav = 0, nat = 4, ntyp = 3
/
ATOMIC_SPECIES
Li 6.94 Li.upf
Pt 195.08 Pt.upf
Os 190.23 Os.upf
CELL_PARAMETERS angstrom
2.779 0.000 0.000
0.000 2.779 0.000
0.000 0.000 7.211
ATOMIC_POSITIONS crystal
Li 0.500 0.500 0.251
Li 0.000 0.000 0.995
Pt 0.500 0.500 0.756
Os 0.000 0.000 0.498

---

# 3
! Li2OsPt2 (PBE-GGA, relaxed); values from VASP
! - Energy above the lowest structure with this stoichiometry: 0.000 eV per atom
! - Total magnetic moment: 0.0 μB/f.u.
&SYSTEM
  ibrav = 0, nat = 10, ntyp = 3
/
ATOMIC_SPECIES
Li 6.94 Li.upf
Pt 195.08 Pt.upf
Os 190.23 Os.upf
CELL_PARAMETERS angstrom
-6.607 -0.295 -2.097
1.535 -5.401 -4.075
-0.568 -1.692 2.029
ATOMIC_POSITIONS crystal
Li 0.393 0.893 0.000
Li 0.893 0.607 0.000
Li 0.607 0.107 0.000
Li 0.107 0.393 0.000
Pt 0.306 0.194 0.500
Pt 0.806 0.306 0.500
Pt 0.694 0.806 0.500
Pt 0.194 0.694 0.500
Os 0.000 0.000 0.000
Os 0.500 0.500 0.000

---

# 4
! Li2OsPt (PBE-GGA, relaxed); values from VASP
! - Energy above the lowest structure with this stoichiometry: 0.221 eV per atom
! - Total magnetic moment: 0.0 μB/f.u.
&SYSTEM
  ibrav = 0, nat = 4, ntyp = 3
/
ATOMIC_SPECIES
Li 6.94 Li.upf
Os 190.23 Os.upf
Pt 195.08 Pt.upf
CELL_PARAMETERS angstrom
-2.113 -0.112 1.505
1.239 -1.608 1.619
2.771 6.542 4.377
ATOMIC_POSITIONS crystal
Li 0.000 0.000 0.988
Li 0.000 0.000 0.512
Os 0.500 0.500 0.250
Pt 0.500 0.500 0.750

---

Q: Among the records above, which one has the lowest energy above the lowest structure with this stoichiometry?
A: Li2OsPt2